[1]
YFeNi2Mo | PBEsol | relaxed

a = 4.432 Å, b = 4.432 Å, c = 5.009 Å
α = 90.00°, β = 90.00°, γ = 90.00°
Space group P4/mmm (No. 123)
One atom of each set of equivalent atoms:
Y1 0.000 0.000 0.000 x1
Fe1 0.500 0.500 0.000 x1
Ni1 0.000 0.500 0.500 x2
Mo1 0.000 0.000 0.500 x1

## Properties
ΔH_f (0 K) = 1436.7 meV per atom
M_tot = 2.98 μB per cell
raw total energy = -6.537 eV/atom

[2]
FeMoPO2 | PBEsol | relaxed

a = 3.713 Å, b = 3.713 Å, c = 5.117 Å
α = 90.00°, β = 90.00°, γ = 90.00°
Space group P4/mmm (No. 123)
One atom of each set of equivalent atoms:
Fe1 0.000 0.000 0.000 x1
Mo1 0.500 0.500 0.500 x1
P1 0.500 0.500 0.000 x1
O1 0.000 0.500 0.500 x2

## Properties
M_tot = 3.37 μB per cell
raw total energy = -8.067 eV/atom

[3]
Sr2FeMoO6 | PBEsol | relaxed

a = 7.674 Å, b = 7.674 Å, c = 7.674 Å
α = 90.00°, β = 90.00°, γ = 90.00°
Space group Fm-3m (No. 225)
One atom of each set of equivalent atoms:
Sr1 0.250 0.250 0.250 x8
Fe1 0.000 0.000 0.000 x4
Mo1 0.000 0.000 0.500 x4
O1 0.000 0.000 0.249 x24

## Properties
M_tot = 0.00 μB per cell
raw total energy = -7.930 eV/atom

[4]
FeMoOs2 | PBEsol | relaxed

a = 3.782 Å, b = 3.782 Å, c = 3.755 Å
α = 90.00°, β = 90.00°, γ = 90.00°
Space group P4/mmm (No. 123)
One atom of each set of equivalent atoms:
Fe1 0.000 0.000 0.000 x1
Mo1 0.500 0.500 0.000 x1
Os1 0.000 0.500 0.500 x2

## Properties
ΔH_f (0 K) = 52.2 meV per atom
relative energy among the computed polymorphs = 0.00 eV/f.u.
M_tot = 1.00 μB per cell
raw total energy = -11.239 eV/atom

[5]
Fe2MoOs | PBEsol | relaxed

a = 2.6390 Å, b = 2.6390 Å, c = 25.3743 Å
α = 90.00°, β = 90.00°, γ = 120.00°
Space group R-3m (No. 166, hexagonal axes)
One atom of each set of equivalent atoms:
Fe1 0.0000 0.0000 0.2481 x6
Mo1 0.0000 0.0000 0.0000 x3
Os1 0.0000 0.0000 0.5000 x3

## Properties
ΔH_f (0 K) = 250.5 meV per atom
M_tot = 8.17 μB per cell
raw total energy = -10.227 eV/atom

[6]
FeMoOs2 | PBEsol | relaxed

a = 2.765 Å, b = 4.357 Å, c = 9.126 Å
α = 90.00°, β = 90.00°, γ = 90.00°
Space group Immm (No. 71)
One atom of each set of equivalent atoms:
Fe1 0.000 0.000 0.000 x2
Mo1 0.000 0.000 0.500 x2
Os1 0.000 0.500 0.279 x4

## Properties
ΔH_f (0 K) = 255.2 meV per atom
relative energy among the computed polymorphs = 0.81 eV/f.u.
M_tot = 4.55 μB per cell
raw total energy = -11.036 eV/atom

[7]
FeMoOs2 | PBEsol | relaxed

a = 2.852 Å, b = 4.371 Å, c = 4.449 Å
α = 90.00°, β = 90.00°, γ = 90.00°
Space group Pmmm (No. 47)
One atom of each set of equivalent atoms:
Fe1 0.000 0.000 0.000 x1
Mo1 0.500 0.000 0.500 x1
Os1 0.000 0.500 0.500 x1
Os2 0.500 0.500 0.000 x1

## Properties
ΔH_f (0 K) = 371.0 meV per atom
relative energy among the computed polymorphs = 1.28 eV/f.u.
M_tot = 2.61 μB per cell
raw total energy = -10.920 eV/atom

[8]
FeMoOs2 | PBEsol | relaxed

a = 2.667 Å, b = 4.106 Å, c = 5.179 Å
α = 90.00°, β = 103.27°, γ = 90.00°
Space group P2/m (No. 10)
One atom of each set of equivalent atoms:
Fe1 0.000 0.000 0.000 x1
Mo1 0.000 0.000 0.500 x1
Os1 0.380 0.500 0.234 x2

## Properties
ΔH_f (0 K) = 219.6 meV per atom
relative energy among the computed polymorphs = 0.67 eV/f.u.
M_tot = 2.39 μB per cell
raw total energy = -11.071 eV/atom

[9]
FeMo2Os | PBEsol | relaxed

a = 3.102 Å, b = 4.276 Å, c = 8.475 Å
α = 90.00°, β = 90.00°, γ = 90.00°
Space group Imm2 (No. 44)
One atom of each set of equivalent atoms:
Fe1 0.000 0.000 0.000 x2
Mo1 0.000 0.000 0.486 x2
Mo2 0.000 0.500 0.740 x2
Os1 0.000 0.500 0.245 x2

## Properties
ΔH_f (0 K) = 210.2 meV per atom
M_tot = 4.70 μB per cell
raw total energy = -10.969 eV/atom

[10]
FeMoOs2 | PBEsol | relaxed

a = 5.344 Å, b = 7.505 Å, c = 2.685 Å
α = 90.00°, β = 90.00°, γ = 90.00°
Space group Cmmm (No. 65)
One atom of each set of equivalent atoms:
Fe1 0.000 0.000 0.000 x2
Mo1 0.000 0.500 0.000 x2
Os1 0.250 0.250 0.500 x4

## Properties
ΔH_f (0 K) = 162.6 meV per atom
relative energy among the computed polymorphs = 0.44 eV/f.u.
M_tot = 1.33 μB per cell
raw total energy = -11.128 eV/atom

[11]
FeMo3Os | PBEsol | relaxed

a = 4.314 Å, b = 4.314 Å, c = 4.314 Å
α = 90.00°, β = 90.00°, γ = 90.00°
Space group Pm-3m (No. 221)
One atom of each set of equivalent atoms:
Fe1 0.000 0.000 0.000 x1
Mo1 0.000 0.000 0.500 x3
Os1 0.500 0.500 0.500 x1

## Properties
ΔH_f (0 K) = 1311.2 meV per atom
M_tot = 0.00 μB per cell
raw total energy = -9.985 eV/atom

[12]
Fe2MoP | PBEsol | relaxed

a = 2.715 Å, b = 4.135 Å, c = 8.104 Å
α = 90.00°, β = 90.00°, γ = 90.00°
Space group Immm (No. 71)
One atom of each set of equivalent atoms:
Fe1 0.000 0.000 0.220 x4
Mo1 0.000 0.500 0.000 x2
P1 0.000 0.500 0.500 x2

## Properties
ΔH_f (0 K) = -267.4 meV per atom
M_tot = 0.02 μB per cell
raw total energy = -9.139 eV/atom